No. 1
BaNaNO2: optimized geometry, GGA-PBE.

Cell and atoms, written as CIF:
```
data_BaNaNO2
_cell_length_a 4.9430
_cell_length_b 4.9430
_cell_length_c 5.3439
_cell_angle_alpha 90.00
_cell_angle_beta 90.00
_cell_angle_gamma 90.00
_space_group_name_H-M_alt 'P 4/m m m'
_space_group_IT_number 123
_space_group_name_Hall '-P 4 2'
loop_
_atom_site_label
_atom_site_fract_x
_atom_site_fract_y
_atom_site_fract_z
_atom_site_occupancy
Ba1 0.0000 0.0000 0.0000 1
Na1 0.5000 0.5000 0.5000 1
N1 0.0000 0.0000 0.5000 1
O1 0.0000 0.5000 0.0000 1
```

Calculated values
The value obtained for the calculated volume is 131 Å³/cell. The density of states at the Fermi level comes out at 0.473 states/eV/atom. For the uncorrected formation energy, the calculation gives 97 meV/atom. The value obtained for the total magnetization is 4.001 μB/f.u.



No. 2
BaNaNO2: optimized geometry, GGA-PBE.

Cell and atoms, written as CIF:
```
data_BaNaNO2
_cell_length_a 4.4096
_cell_length_b 4.4096
_cell_length_c 4.3556
_cell_angle_alpha 90.00
_cell_angle_beta 90.00
_cell_angle_gamma 90.00
_space_group_name_H-M_alt 'P 4/m m m'
_space_group_IT_number 123
_space_group_name_Hall '-P 4 2'
loop_
_atom_site_label
_atom_site_fract_x
_atom_site_fract_y
_atom_site_fract_z
_atom_site_occupancy
Ba1 0.0000 0.0000 0.0000 1
Na1 0.5000 0.5000 0.5000 1
N1 0.5000 0.5000 0.0000 1
O1 0.0000 0.5000 0.5000 1
```

Calculated values
The value obtained for the calculated volume is 85 Å³/cell. The density of states at the Fermi level comes out at 0.393 states/eV/atom. For the uncorrected formation energy, the calculation gives -195 meV/atom. The value obtained for the total magnetization is 4.000 μB/f.u.



No. 3
Ba6Na3P2N: optimized geometry, GGA-PBE.

Cell and atoms, written as CIF:
```
data_Ba6Na3P2N
_cell_length_a 7.7688
_cell_length_b 13.3884
_cell_length_c 10.3471
_cell_angle_alpha 90.00
_cell_angle_beta 103.95
_cell_angle_gamma 90.00
_space_group_name_H-M_alt 'C 1 2/m 1'
_space_group_IT_number 12
loop_
_space_group_symop_operation_xyz
'x,y,z'
'-x,-y,-z'
'-x,y,-z'
'x,-y,z'
'x+1/2,y+1/2,z'
'-x+1/2,-y+1/2,-z'
'-x+1/2,y+1/2,-z'
'x+1/2,-y+1/2,z'
loop_
_atom_site_label
_atom_site_fract_x
_atom_site_fract_y
_atom_site_fract_z
_atom_site_occupancy
Ba1 0.2024 0.1506 0.1600 1
Ba2 0.2488 0.5000 0.1654 1
Na1 0.0000 0.1845 0.5000 1
Na2 0.0000 0.5000 0.5000 1
P1 0.0000 0.3343 0.0000 1
N1 0.0000 0.0000 0.0000 1
```

Calculated values
The value obtained for the calculated volume is 1044 Å³/cell. The density of states at the Fermi level comes out at 0.567 states/eV/atom. For the uncorrected formation energy, the calculation gives -475 meV/atom. The value obtained for the total magnetization is 0.000 μB/f.u.



No. 4
BaNaPN3: optimized geometry, GGA-PBE.

Cell and atoms, written as CIF:
```
data_BaNaPN3
_cell_length_a 5.9596
_cell_length_b 10.7836
_cell_length_c 5.2182
_cell_angle_alpha 90.00
_cell_angle_beta 90.00
_cell_angle_gamma 90.00
_space_group_name_H-M_alt 'C m c m'
_space_group_IT_number 63
_space_group_name_Hall '-C 2c 2'
loop_
_atom_site_label
_atom_site_fract_x
_atom_site_fract_y
_atom_site_fract_z
_atom_site_occupancy
Ba1 0.0000 0.2423 0.2500 1
Na1 0.0000 0.0760 0.7500 1
P1 0.0000 0.4504 0.7500 1
N1 0.0000 0.2979 0.7500 1
N2 0.1927 0.5000 0.0000 1
```

Calculated values
The value obtained for the calculated volume is 335 Å³/cell. The density of states at the Fermi level comes out at 0.621 states/eV/atom. For the uncorrected formation energy, the calculation gives -293 meV/atom. The value obtained for the total magnetization is 0.001 μB/f.u.



No. 5
BaNaPa4N8: optimized geometry, GGA-PBE.

Cell and atoms, written as CIF:
```
data_BaNaPa4N8
_cell_length_a 7.1673
_cell_length_b 7.1673
_cell_length_c 16.9421
_cell_angle_alpha 90.00
_cell_angle_beta 90.00
_cell_angle_gamma 120.00
_space_group_name_H-M_alt 'R 3 m'
_space_group_IT_number 160
_space_group_name_Hall 'R 3 -2"'
loop_
_atom_site_label
_atom_site_fract_x
_atom_site_fract_y
_atom_site_fract_z
_atom_site_occupancy
Ba1 0.0000 0.0000 0.0000 1
Na1 0.0000 0.0000 0.6182 1
Pa1 0.0000 0.0000 0.2353 1
Pa2 0.1714 0.3427 0.4507 1
N1 0.0000 0.0000 0.3700 1
N2 0.0000 0.0000 0.8462 1
N3 0.0061 0.5030 0.8527 1
N4 0.0528 0.5264 0.3895 1
```

Calculated values
The value obtained for the calculated volume is 754 Å³/cell. The density of states at the Fermi level comes out at 0.328 states/eV/atom. For the uncorrected formation energy, the calculation gives -1189 meV/atom. The value obtained for the total magnetization is 0.000 μB/f.u.



No. 6
Ba2NaPbN: optimized geometry, GGA-PBE.

Cell and atoms, written as CIF:
```
data_Ba2NaPbN
_cell_length_a 5.5968
_cell_length_b 5.5968
_cell_length_c 5.0460
_cell_angle_alpha 90.00
_cell_angle_beta 90.00
_cell_angle_gamma 90.00
_space_group_name_H-M_alt 'P 4/m m m'
_space_group_IT_number 123
_space_group_name_Hall '-P 4 2'
loop_
_atom_site_label
_atom_site_fract_x
_atom_site_fract_y
_atom_site_fract_z
_atom_site_occupancy
Ba1 0.0000 0.5000 0.0000 1
Na1 0.0000 0.0000 0.5000 1
Pb1 0.5000 0.5000 0.5000 1
N1 0.0000 0.0000 0.0000 1
```

Calculated values
The value obtained for the calculated volume is 158 Å³/cell. The density of states at the Fermi level comes out at 1.183 states/eV/atom. For the uncorrected formation energy, the calculation gives -213 meV/atom. The value obtained for the total magnetization is 1.368 μB/f.u.



No. 7
BaNa2PbN: optimized geometry, GGA-PBE.

Cell and atoms, written as CIF:
```
data_BaNa2PbN
_cell_length_a 6.6502
_cell_length_b 6.6502
_cell_length_c 4.3874
_cell_angle_alpha 90.00
_cell_angle_beta 90.00
_cell_angle_gamma 90.00
_space_group_name_H-M_alt 'P 4/m m m'
_space_group_IT_number 123
_space_group_name_Hall '-P 4 2'
loop_
_atom_site_label
_atom_site_fract_x
_atom_site_fract_y
_atom_site_fract_z
_atom_site_occupancy
Ba1 0.0000 0.0000 0.0000 1
Na1 0.0000 0.5000 0.0000 1
Pb1 0.5000 0.5000 0.5000 1
N1 0.0000 0.0000 0.5000 1
```

Calculated values
The value obtained for the calculated volume is 194 Å³/cell. The density of states at the Fermi level comes out at 0.826 states/eV/atom. For the uncorrected formation energy, the calculation gives 677 meV/atom. The value obtained for the total magnetization is 0.000 μB/f.u.



No. 8
Ba6Na2PdN: optimized geometry, GGA-PBE.

Cell and atoms, written as CIF:
```
data_Ba6Na2PdN
_cell_length_a 8.4411
_cell_length_b 8.4411
_cell_length_c 12.9509
_cell_angle_alpha 90.00
_cell_angle_beta 90.00
_cell_angle_gamma 90.00
_space_group_name_H-M_alt 'I 4 m m'
_space_group_IT_number 107
_space_group_name_Hall 'I 4 -2'
loop_
_atom_site_label
_atom_site_fract_x
_atom_site_fract_y
_atom_site_fract_z
_atom_site_occupancy
Ba1 0.0000 0.0000 0.0000 1
Ba2 0.0000 0.0000 0.4944 1
Ba3 0.2290 0.2290 0.7357 1
Na1 0.0000 0.5000 0.4836 1
Pd1 0.0000 0.0000 0.2370 1
N1 0.0000 0.0000 0.6968 1
```

Calculated values
The value obtained for the calculated volume is 923 Å³/cell. The density of states at the Fermi level comes out at 0.908 states/eV/atom. For the uncorrected formation energy, the calculation gives -202 meV/atom. The value obtained for the total magnetization is 0.000 μB/f.u.



No. 9
Ba6NaPdN: optimized geometry, GGA-PBE.

Cell and atoms, written as CIF:
```
data_Ba6NaPdN
_cell_length_a 7.9819
_cell_length_b 7.9819
_cell_length_c 7.7992
_cell_angle_alpha 90.00
_cell_angle_beta 90.00
_cell_angle_gamma 120.00
_space_group_name_H-M_alt 'P 3 1 2'
_space_group_IT_number 149
loop_
_space_group_symop_operation_xyz
'x,y,z'
'-y,x-y,z'
'-x+y,-x,z'
'-y,-x,-z'
'-x+y,y,-z'
'x,x-y,-z'
loop_
_atom_site_label
_atom_site_fract_x
_atom_site_fract_y
_atom_site_fract_z
_atom_site_occupancy
Ba1 0.0620 0.3659 0.2121 1
Na1 0.6667 0.3333 0.5000 1
Pd1 0.0000 0.0000 0.0000 1
N1 0.3333 0.6667 0.0000 1
```

Calculated values
The value obtained for the calculated volume is 430 Å³/cell. The density of states at the Fermi level comes out at 0.790 states/eV/atom. For the uncorrected formation energy, the calculation gives -209 meV/atom. The value obtained for the total magnetization is 0.000 μB/f.u.



No. 10
Ba6Na2PtN: optimized geometry, GGA-PBE.

Cell and atoms, written as CIF:
```
data_Ba6Na2PtN
_cell_length_a 8.6089
_cell_length_b 8.6089
_cell_length_c 43.0557
_cell_angle_alpha 90.00
_cell_angle_beta 90.00
_cell_angle_gamma 120.00
_space_group_name_H-M_alt 'R -3 m'
_space_group_IT_number 166
_space_group_name_Hall '-R 3 2"'
loop_
_atom_site_label
_atom_site_fract_x
_atom_site_fract_y
_atom_site_fract_z
_atom_site_occupancy
Ba1 0.0191 0.5096 0.2046 1
Ba2 0.0289 0.5145 0.6279 1
Na1 0.0000 0.0000 0.2097 1
Na2 0.0000 0.0000 0.3763 1
Pt1 0.0000 0.0000 0.0877 1
N1 0.0000 0.0000 0.0000 1
N2 0.0000 0.0000 0.5000 1
```

Calculated values
The value obtained for the calculated volume is 2764 Å³/cell. The density of states at the Fermi level comes out at 0.783 states/eV/atom. For the uncorrected formation energy, the calculation gives -279 meV/atom. The value obtained for the total magnetization is 0.000 μB/f.u.



No. 11
BaNaPu4N8: optimized geometry, GGA-PBE.

Cell and atoms, written as CIF:
```
data_BaNaPu4N8
_cell_length_a 6.9074
_cell_length_b 6.9074
_cell_length_c 16.8796
_cell_angle_alpha 90.00
_cell_angle_beta 90.00
_cell_angle_gamma 120.00
_space_group_name_H-M_alt 'R 3 m'
_space_group_IT_number 160
_space_group_name_Hall 'R 3 -2"'
loop_
_atom_site_label
_atom_site_fract_x
_atom_site_fract_y
_atom_site_fract_z
_atom_site_occupancy
Ba1 0.0000 0.0000 0.0000 1
Na1 0.0000 0.0000 0.3818 1
Pu1 0.0000 0.0000 0.7663 1
Pu2 0.0037 0.5018 0.8799 1
N1 0.0000 0.0000 0.1539 1
N2 0.0000 0.0000 0.6173 1
N3 0.0181 0.5091 0.1487 1
N4 0.1971 0.3943 0.9400 1
```

Calculated values
The value obtained for the calculated volume is 697 Å³/cell. The density of states at the Fermi level comes out at 1.837 states/eV/atom. For the uncorrected formation energy, the calculation gives -732 meV/atom. The value obtained for the total magnetization is 11.000 μB/f.u.



No. 12
Ba2NaReN4: optimized geometry, GGA-PBE.

Cell and atoms, written as CIF:
```
data_Ba2NaReN4
_cell_length_a 6.1046
_cell_length_b 7.9628
_cell_length_c 6.4630
_cell_angle_alpha 90.00
_cell_angle_beta 90.00
_cell_angle_gamma 90.00
_space_group_name_H-M_alt 'P m m n'
_space_group_IT_number 59
loop_
_space_group_symop_operation_xyz
'x,y,z'
'-x,-y,-z'
'-x+1/2,-y+1/2,z'
'x+1/2,y+1/2,-z'
'x+1/2,-y,-z'
'-x+1/2,y,z'
'-x,y+1/2,-z'
'x,-y+1/2,z'
loop_
_atom_site_label
_atom_site_fract_x
_atom_site_fract_y
_atom_site_fract_z
_atom_site_occupancy
Ba1 0.2500 0.0029 0.2278 1
Na1 0.2500 0.2500 0.7629 1
Re1 0.2500 0.7500 0.7907 1
N1 0.0100 0.7500 0.9643 1
N2 0.2500 0.5548 0.6392 1
```

Calculated values
The value obtained for the calculated volume is 314 Å³/cell. The density of states at the Fermi level comes out at 0.000 states/eV/atom. For the uncorrected formation energy, the calculation gives -679 meV/atom. The value obtained for the total magnetization is 0.000 μB/f.u.